Compound: Na3PdF4
Source: Alexandria
Functional: PBE-GGA
Structure: relaxed

Properties
The space group is I4/mmm. The calculation puts the energy relative to the elements, uncorrected at -2114 meV per atom.

Cell: 4.6106 4.6106 6.0537 Å, 112.38 112.38 90.00°
Last column: nearest neighbours and their distance in Å.
Fractional positions:
Pd1 0.0000 0.0000 0.0000  4 F 2.31
Na1 0.2500 0.7500 0.5000  6 F 2.32-2.55
F1 0.0000 0.5000 0.0000  4 Na 2.31-2.55, 2 Pd 2.31
Na2 0.7500 0.2500 0.5000  6 F 2.32-2.55
F2 0.7240 0.7240 0.4479  5 Na 2.28-2.32
F3 0.5000 0.0000 0.0000  4 Na 2.31-2.55, 2 Pd 2.31
Na3 0.5000 0.5000 0.0000  6 F 2.28-2.31
F4 0.2760 0.2760 0.5521  5 Na 2.28-2.32